Computed, not measured: an optimized crystal structure of NbPCS2 at the PBE level of DFT.

Cell and atoms, written as extended XYZ:
```
5
Lattice="4.736 0.000 0.000 0.000 4.736 0.000 0.000 0.000 4.949" Properties=species:S:1:pos:R:3 pbc="T T T"
C 2.368 2.368 2.474
P 0.000 0.000 2.474
Nb 0.000 0.000 0.000
S 0.000 2.368 0.000
S 2.368 0.000 0.000
```

final energy	-5.20	eV per atom
total magnetic moment	1.05	μB per cell
formation energy from raw total energies	1.3967	eV per atom
excess energy over the best structure of this formula in the dataset	50.6	kJ/mol of atoms
crystal system	tetragonal
density of states at the Fermi level	4.99	states/eV/cell